[1]
Compound: LiAc6Tl
Source: the Alexandria database
Functional: PBE
Structure: optimized geometry

Cell lengths 5.682, 5.682, 10.632 Å; angles 74.50, 74.50, 90.00 degrees
Sites, in units of the cell vectors:
Ac (0.609, 0.109, 0.782)
Ac (0.250, 0.250, 0.501)
Ac (0.391, 0.891, 0.218)
Ac (0.750, 0.750, 0.499)
Ac (0.109, 0.609, 0.782)
Ac (0.891, 0.391, 0.218)
Tl (0.500, 0.500, 0.000)
Li (0.000, 0.000, 0.000)

## Properties
Total moment in μB/cell: 0.0



[2]
Compound: LiAc3Tl2
Source: the Alexandria database
Functional: PBE
Structure: optimized geometry

Cell lengths 5.806, 5.806, 14.243 Å; angles 90.00, 90.00, 120.00 degrees
Sites, in units of the cell vectors:
Ac (0.000, 0.000, 0.250)
Ac (0.333, 0.667, 0.419)
Ac (0.000, 0.000, 0.750)
Ac (0.333, 0.667, 0.918)
Ac (0.667, 0.333, 0.581)
Ac (0.667, 0.333, 0.082)
Tl (0.667, 0.333, 0.824)
Tl (0.000, 0.000, 0.000)
Tl (0.333, 0.667, 0.176)
Tl (0.000, 0.000, 0.500)
Li (0.667, 0.333, 0.330)
Li (0.333, 0.667, 0.670)

## Properties
Total moment in μB/cell: 0.0
Energy relative to the lowest polymorph listed for this composition in kJ per mole of atoms: 0.00



[3]
Compound: Li4AcTl
Source: the Alexandria database
Functional: PBE
Structure: optimized geometry

Cell lengths 5.801, 5.801, 5.801 Å; angles 60.00, 60.00, 60.00 degrees
Sites, in units of the cell vectors:
Ac (0.250, 0.250, 0.250)
Li (0.627, 0.627, 0.120)
Li (0.627, 0.120, 0.627)
Li (0.627, 0.627, 0.627)
Li (0.120, 0.627, 0.627)
Tl (0.000, 0.000, 0.000)

## Properties
Total moment in μB/cell: 0.0



[4]
Compound: LiAc3Tl3
Source: the Alexandria database
Functional: PBE
Structure: optimized geometry

Cell lengths 5.981, 10.065, 10.065 Å; angles 120.00, 90.00, 90.00 degrees
Sites, in units of the cell vectors:
Ac (0.250, 0.742, 0.988)
Ac (0.250, 0.012, 0.754)
Ac (0.750, 0.988, 0.246)
Ac (0.750, 0.754, 0.742)
Ac (0.750, 0.258, 0.012)
Ac (0.250, 0.246, 0.258)
Tl (0.750, 0.588, 0.000)
Tl (0.250, 0.412, 0.000)
Tl (0.250, 0.000, 0.412)
Tl (0.750, 0.000, 0.588)
Tl (0.250, 0.588, 0.588)
Tl (0.750, 0.412, 0.412)
Li (0.750, 0.333, 0.667)
Li (0.250, 0.667, 0.333)

## Properties
Total moment in μB/cell: 0.0
Energy relative to the lowest polymorph listed for this composition in kJ per mole of atoms: 22.18



[5]
Compound: LiAcTl5
Source: the Alexandria database
Functional: PBE
Structure: optimized geometry

Cell lengths 5.033, 5.033, 8.064 Å; angles 90.00, 90.00, 90.00 degrees
Sites, in units of the cell vectors:
Tl (0.000, 0.500, 0.303)
Tl (0.000, 0.500, 0.697)
Tl (0.500, 0.500, 0.000)
Tl (0.500, 0.000, 0.303)
Tl (0.500, 0.000, 0.697)
Li (0.000, 0.000, 0.500)
Ac (0.000, 0.000, 0.000)

## Properties
Total moment in μB/cell: 0.0
Energy relative to the lowest polymorph listed for this composition in kJ per mole of atoms: 0.00



[6]
Compound: Li4AcTl2
Source: the Alexandria database
Functional: PBE
Structure: optimized geometry

Cell lengths 4.875, 8.320, 8.320 Å; angles 90.00, 90.00, 90.00 degrees
Sites, in units of the cell vectors:
Li (0.000, 0.355, 0.098)
Li (0.500, 0.145, 0.598)
Li (0.500, 0.402, 0.855)
Li (0.500, 0.598, 0.145)
Li (0.000, 0.645, 0.902)
Li (0.000, 0.098, 0.355)
Li (0.000, 0.902, 0.645)
Li (0.500, 0.855, 0.402)
Tl (0.000, 0.786, 0.214)
Tl (0.000, 0.214, 0.786)
Tl (0.500, 0.286, 0.286)
Tl (0.500, 0.714, 0.714)
Ac (0.000, 0.500, 0.500)
Ac (0.500, 0.000, 0.000)

## Properties
Total moment in μB/cell: 0.0
Energy relative to the lowest polymorph listed for this composition in kJ per mole of atoms: 0.00



[7]
Compound: Li5AcTl7
Source: the Alexandria database
Functional: PBE
Structure: optimized geometry

Cell lengths 6.124, 7.773, 7.773 Å; angles 81.47, 66.80, 66.80 degrees
Sites, in units of the cell vectors:
Tl (0.518, 0.179, 0.784)
Tl (0.337, 0.663, 0.663)
Tl (0.518, 0.784, 0.179)
Tl (0.986, 0.673, 0.356)
Tl (0.271, 0.229, 0.229)
Tl (0.647, 0.353, 0.353)
Tl (0.986, 0.356, 0.673)
Li (0.492, 0.495, 0.000)
Li (0.734, 0.766, 0.766)
Li (0.492, 0.000, 0.495)
Li (0.012, 0.000, 0.495)
Li (0.012, 0.495, 0.000)
Ac (0.994, 0.006, 0.006)

## Properties
Total moment in μB/cell: 0.0



[8]
Compound: Li2AcTl4
Source: the Alexandria database
Functional: PBE
Structure: optimized geometry

Cell lengths 4.966, 4.966, 9.523 Å; angles 74.89, 74.89, 60.00 degrees
Sites, in units of the cell vectors:
Tl (0.134, 0.134, 0.597)
Tl (0.866, 0.866, 0.403)
Tl (0.599, 0.599, 0.203)
Tl (0.401, 0.401, 0.797)
Ac (0.000, 0.000, 0.000)
Li (0.758, 0.758, 0.727)
Li (0.242, 0.242, 0.273)

## Properties
Total moment in μB/cell: 0.0



[9]
Compound: Li3Ac2Tl3
Source: the Alexandria database
Functional: PBE
Structure: optimized geometry

Cell lengths 7.233, 9.083, 9.083 Å; angles 60.00, 90.00, 90.00 degrees
Sites, in units of the cell vectors:
Tl (0.750, 0.645, 0.355)
Tl (0.250, 0.645, 0.000)
Tl (0.250, 0.000, 0.355)
Tl (0.750, 0.000, 0.645)
Tl (0.750, 0.355, 0.000)
Tl (0.250, 0.355, 0.645)
Li (0.750, 0.276, 0.724)
Li (0.250, 0.000, 0.724)
Li (0.750, 0.000, 0.276)
Li (0.250, 0.276, 0.000)
Li (0.750, 0.724, 0.000)
Li (0.250, 0.724, 0.276)
Ac (0.000, 0.333, 0.333)
Ac (0.000, 0.667, 0.667)
Ac (0.500, 0.667, 0.667)
Ac (0.500, 0.333, 0.333)

## Properties
Total moment in μB/cell: 0.0



[10]
Compound: LiAcTl2
Source: the Alexandria database
Functional: PBE
Structure: optimized geometry

Cell lengths 4.312, 5.363, 5.363 Å; angles 90.00, 90.00, 90.00 degrees
Sites, in units of the cell vectors:
Ac (0.500, 0.000, 0.000)
Li (0.500, 0.500, 0.500)
Tl (0.000, 0.500, 0.000)
Tl (0.000, 0.000, 0.500)

## Properties
Total moment in μB/cell: 0.0
Energy relative to the lowest polymorph listed for this composition in kJ per mole of atoms: 9.59



[11]
Compound: LiAc12Tl6
Source: the Alexandria database
Functional: PBE
Structure: optimized geometry

Cell lengths 9.857, 9.857, 9.857 Å; angles 107.66, 107.66, 107.66 degrees
Sites, in units of the cell vectors:
Ac (0.546, 0.894, 0.648)
Ac (0.316, 0.020, 0.885)
Ac (0.885, 0.316, 0.020)
Ac (0.980, 0.115, 0.684)
Ac (0.894, 0.648, 0.546)
Ac (0.648, 0.546, 0.894)
Ac (0.115, 0.684, 0.980)
Ac (0.454, 0.106, 0.352)
Ac (0.020, 0.885, 0.316)
Ac (0.106, 0.352, 0.454)
Ac (0.684, 0.980, 0.115)
Ac (0.352, 0.454, 0.106)
Tl (0.803, 0.354, 0.662)
Tl (0.354, 0.662, 0.803)
Tl (0.646, 0.338, 0.197)
Tl (0.338, 0.197, 0.646)
Tl (0.197, 0.646, 0.338)
Tl (0.662, 0.803, 0.354)
Li (0.000, 0.000, 0.000)

## Properties
Total moment in μB/cell: 0.0



[12]
Compound: LiAcTl
Source: the Alexandria database
Functional: PBE
Structure: optimized geometry

Cell lengths 3.879, 3.879, 6.548 Å; angles 107.23, 107.23, 90.00 degrees
Sites, in units of the cell vectors:
Li (0.250, 0.250, 0.500)
Ac (0.953, 0.953, 0.906)
Tl (0.647, 0.647, 0.294)

## Properties
Total moment in μB/cell: 0.3
Energy relative to the lowest polymorph listed for this composition in kJ per mole of atoms: 13.89



| no. | final energy (eV per atom) |
| --- | --- |
| 1 | -3.696 |
| 2 | -3.397 |
| 3 | -2.475 |
| 4 | -3.134 |
| 5 | -2.758 |
| 6 | -2.599 |
| 7 | -2.553 |
| 8 | -2.674 |
| 9 | -2.750 |
| 10 | -2.922 |
| 11 | -3.477 |
| 12 | -2.948 |